No. 1
! DyTmIn3Si2 GGA-PBE optimized geometry; values from VASP
! * symmetry: Cm, No. 8
! * V: 22.16 Å³/atom
! * calculated total energy: -30.95 eV for the cell shown
&SYSTEM
  ibrav = 0, nat = 7, ntyp = 4
/
ATOMIC_SPECIES
Dy 162.50 Dy.upf
In 114.82 In.upf
Si 28.09 Si.upf
Tm 168.93 Tm.upf
CELL_PARAMETERS angstrom
5.297 -2.130 0.000
5.297 2.130 0.000
-1.179 0.000 6.874
ATOMIC_POSITIONS crystal
Dy 0.621 0.621 0.832
In 0.696 0.696 0.349
In 0.999 0.999 0.499
In 0.304 0.304 0.650
Si 0.094 0.094 0.119
Si 0.907 0.907 0.885
Tm 0.379 0.379 0.167

No. 2
! Hf2ZrNi2Pd2N4 GGA-PBE optimized geometry; values from VASP
! * symmetry: Pm, No. 6
! * V: 13.21 Å³/atom
! * calculated total energy: -89.62 eV for the cell shown
&SYSTEM
  ibrav = 0, nat = 11, ntyp = 5
/
ATOMIC_SPECIES
Hf 178.49 Hf.upf
N 14.01 N.upf
Ni 58.69 Ni.upf
Pd 106.42 Pd.upf
Zr 91.22 Zr.upf
CELL_PARAMETERS angstrom
5.844 0.000 0.000
0.000 3.077 0.000
-1.754 0.000 8.081
ATOMIC_POSITIONS crystal
Hf 0.932 0.000 0.155
Hf 0.567 0.500 0.702
N 0.213 0.500 0.156
N 0.740 0.500 0.258
N 0.435 0.000 0.541
N 0.715 0.000 0.908
Ni 0.580 0.500 0.002
Ni 0.260 0.000 0.981
Pd 0.106 0.500 0.479
Pd 0.967 0.000 0.718
Zr 0.483 0.000 0.299

No. 3
! CsSrSm GGA-PBE optimized geometry; values from VASP
! * symmetry: F-43m, No. 216
! * V: 67.94 Å³/atom
! * calculated total energy: -4.44 eV for the cell shown
&SYSTEM
  ibrav = 0, nat = 3, ntyp = 3
/
ATOMIC_SPECIES
Cs 132.91 Cs.upf
Sm 150.36 Sm.upf
Sr 87.62 Sr.upf
CELL_PARAMETERS angstrom
0.000 4.671 4.671
4.671 0.000 4.671
4.671 4.671 0.000
ATOMIC_POSITIONS crystal
Cs 0.250 0.250 0.250
Sm 0.000 0.000 0.000
Sr 0.750 0.750 0.750

No. 4
! NdZn GGA-PBE optimized geometry; values from VASP
! * symmetry: P-6m2, No. 187
! * V: 24.39 Å³/atom
! * formation enthalpy at 0 K: 0.055 eV per atom
&SYSTEM
  ibrav = 0, nat = 8, ntyp = 2
/
ATOMIC_SPECIES
Nd 144.24 Nd.upf
Zn 65.41 Zn.upf
CELL_PARAMETERS angstrom
6.157 -3.557 0.000
-0.002 7.111 0.000
0.000 0.000 4.458
ATOMIC_POSITIONS crystal
Nd 0.000 0.000 0.000
Nd 0.365 0.182 0.500
Nd 0.818 0.182 0.500
Nd 0.818 0.635 0.500
Zn 0.460 0.540 0.000
Zn 0.079 0.540 0.000
Zn 0.460 0.921 0.000
Zn 0.333 0.667 0.500